{
  "formula": "MgTl2Cl",
  "functional": "PBE",
  "state": "relaxed",
  "crystal_system": "tetragonal",
  "raw_formation_energy_ev_per_atom": -0.216,
  "sg": "I-42d",
  "de_polymorph_ev_per_atom": 0.3112,
  "final_energy_ev_per_fu": -9.04,
  "cell": [[8.658, 0.000, 0.000], [0.000, 8.658, 0.000], [0.000, 0.000, 6.443]],
  "species": ["Mg", "Mg", "Mg", "Mg", "Tl", "Tl", "Tl", "Tl", "Tl", "Tl", "Tl", "Tl", "Cl", "Cl", "Cl", "Cl"],
  "fractional_positions": [[0.000, 0.000, 0.000], [0.000, 0.500, 0.250], [0.500, 0.000, 0.750], [0.500, 0.500, 0.500], [0.244, 0.250, 0.125], [0.250, 0.744, 0.375], [0.250, 0.756, 0.875], [0.256, 0.250, 0.625], [0.744, 0.750, 0.625], [0.750, 0.244, 0.875], [0.750, 0.256, 0.375], [0.756, 0.750, 0.125], [0.000, 0.000, 0.500], [0.000, 0.500, 0.750], [0.500, 0.000, 0.250], [0.500, 0.500, 0.000]]
}

{
  "formula": "PuTh2PdN5",
  "functional": "PBE",
  "state": "relaxed",
  "crystal_system": "orthorhombic",
  "raw_formation_energy_ev_per_atom": -0.941,
  "sg": "Cmc2_1",
  "final_energy_ev_per_fu": -84.46,
  "cell": [[1.767, -6.705, 0.000], [1.767, 6.705, 0.000], [0.000, 0.000, 10.835]],
  "species": ["Pu", "Pu", "Th", "Th", "Th", "Th", "Pd", "Pd", "N", "N", "N", "N", "N", "N", "N", "N", "N", "N"],
  "fractional_positions": [[0.204, 0.796, 0.500], [0.796, 0.204, 0.000], [0.098, 0.902, 0.174], [0.144, 0.856, 0.787], [0.856, 0.144, 0.287], [0.902, 0.098, 0.674], [0.477, 0.523, 0.935], [0.523, 0.477, 0.435], [0.062, 0.938, 0.563], [0.274, 0.726, 0.148], [0.327, 0.673, 0.862], [0.363, 0.637, 0.484], [0.482, 0.518, 0.251], [0.518, 0.482, 0.751], [0.637, 0.363, 0.984], [0.673, 0.327, 0.362], [0.726, 0.274, 0.648], [0.938, 0.062, 0.063]]
}

{
  "formula": "Ca3TeI",
  "functional": "PBE",
  "state": "relaxed",
  "crystal_system": "cubic",
  "raw_formation_energy_ev_per_atom": -0.504,
  "sg": "Pm-3m",
  "de_polymorph_ev_per_atom": 0.0000,
  "final_energy_ev_per_fu": -13.22,
  "cell": [[5.976, 0.000, 0.000], [0.000, 5.976, 0.000], [0.000, 0.000, 5.976]],
  "species": ["Ca", "Ca", "Ca", "Te", "I"],
  "fractional_positions": [[0.000, 0.000, 0.500], [0.000, 0.500, 0.000], [0.500, 0.000, 0.000], [0.000, 0.000, 0.000], [0.500, 0.500, 0.500]]
}

{
  "formula": "LiGa5Ir",
  "functional": "PBE",
  "state": "relaxed",
  "crystal_system": "orthorhombic",
  "sg": "Imm2",
  "de_polymorph_ev_per_atom": 0.4466,
  "final_energy_ev_per_fu": -25.03,
  "formation_energy_ev_per_atom": 0.126,
  "cell": [[7.232, 0.000, 0.000], [0.000, 9.342, 0.000], [0.000, 0.000, 4.650]],
  "species": ["Li", "Li", "Ga", "Ga", "Ga", "Ga", "Ga", "Ga", "Ga", "Ga", "Ga", "Ga", "Ir", "Ir"],
  "fractional_positions": [[0.000, 0.000, 0.000], [0.500, 0.500, 0.500], [0.000, 0.000, 0.483], [0.000, 0.246, 0.710], [0.000, 0.754, 0.710], [0.173, 0.500, 0.247], [0.327, 0.000, 0.747], [0.500, 0.254, 0.210], [0.500, 0.500, 0.983], [0.500, 0.746, 0.210], [0.673, 0.000, 0.747], [0.827, 0.500, 0.247], [0.000, 0.500, 0.747], [0.500, 0.000, 0.247]]
}

{
  "formula": "TaPtRh",
  "functional": "PBE",
  "state": "relaxed",
  "crystal_system": "cubic",
  "sg": "F-43m",
  "de_polymorph_ev_per_atom": 0.6175,
  "final_energy_ev_per_fu": -25.26,
  "formation_energy_ev_per_atom": -0.004,
  "cell": [[6.070, 0.000, 0.000], [0.000, 6.070, 0.000], [0.000, 0.000, 6.070]],
  "species": ["Ta", "Ta", "Ta", "Ta", "Pt", "Pt", "Pt", "Pt", "Rh", "Rh", "Rh", "Rh"],
  "fractional_positions": [[0.000, 0.000, 0.000], [0.000, 0.500, 0.500], [0.500, 0.000, 0.500], [0.500, 0.500, 0.000], [0.000, 0.000, 0.500], [0.000, 0.500, 0.000], [0.500, 0.000, 0.000], [0.500, 0.500, 0.500], [0.250, 0.250, 0.750], [0.250, 0.750, 0.250], [0.750, 0.250, 0.250], [0.750, 0.750, 0.750]]
}

{
  "formula": "ScTa2Cd",
  "functional": "PBE",
  "state": "relaxed",
  "crystal_system": "orthorhombic",
  "sg": "Imm2",
  "final_energy_ev_per_fu": -29.82,
  "formation_energy_ev_per_atom": 0.284,
  "cell": [[3.135, 0.000, 0.000], [0.000, 5.149, 0.000], [0.000, 0.000, 9.980]],
  "species": ["Sc", "Sc", "Ta", "Ta", "Ta", "Ta", "Cd", "Cd"],
  "fractional_positions": [[0.000, 0.000, 0.000], [0.500, 0.500, 0.500], [0.000, 0.000, 0.510], [0.000, 0.500, 0.235], [0.500, 0.000, 0.735], [0.500, 0.500, 0.010], [0.000, 0.500, 0.759], [0.500, 0.000, 0.259]]
}

{
  "formula": "Tl2TePdSe4",
  "functional": "PBE",
  "state": "relaxed",
  "crystal_system": "triclinic",
  "raw_formation_energy_ev_per_atom": -0.177,
  "sg": "P1",
  "final_energy_ev_per_fu": -28.42,
  "cell": [[5.920, 0.000, 0.000], [-1.642, 6.052, 0.000], [-2.156, -2.606, 6.510]],
  "species": ["Tl", "Tl", "Te", "Pd", "Se", "Se", "Se", "Se"],
  "fractional_positions": [[0.000, 0.000, 0.000], [0.064, 0.423, 0.675], [0.347, 0.882, 0.493], [0.695, 0.416, 0.253], [0.018, 0.559, 0.121], [0.457, 0.307, 0.468], [0.500, 0.028, 0.964], [0.841, 0.829, 0.504]]
}

{
  "formula": "Pr5Sm5Sn6",
  "functional": "PBE",
  "state": "relaxed",
  "crystal_system": "orthorhombic",
  "sg": "Amm2",
  "final_energy_ev_per_fu": -82.43,
  "formation_energy_ev_per_atom": -0.682,
  "cell": [[6.833, 0.000, 0.000], [0.000, 8.054, 4.637], [0.000, -8.054, 4.637]],
  "species": ["Pr", "Pr", "Pr", "Pr", "Pr", "Sm", "Sm", "Sm", "Sm", "Sm", "Sn", "Sn", "Sn", "Sn", "Sn", "Sn"],
  "fractional_positions": [[0.000, 0.000, 0.000], [0.250, 0.095, 0.428], [0.250, 0.428, 0.095], [0.750, 0.095, 0.428], [0.750, 0.428, 0.095], [0.000, 0.521, 0.762], [0.000, 0.762, 0.521], [0.500, 0.002, 0.761], [0.500, 0.522, 0.522], [0.500, 0.761, 0.002], [0.000, 0.154, 0.760], [0.000, 0.371, 0.371], [0.000, 0.760, 0.154], [0.500, 0.152, 0.152], [0.500, 0.370, 0.761], [0.500, 0.761, 0.370]]
}

{
  "formula": "Na3Ce2MgSe6",
  "functional": "PBE",
  "state": "relaxed",
  "crystal_system": "monoclinic",
  "raw_formation_energy_ev_per_atom": -1.484,
  "sg": "C2/m",
  "final_energy_ev_per_fu": -56.14,
  "cell": [[3.612, -6.258, 0.000], [3.612, 6.258, 0.000], [-2.409, 0.000, 6.960]],
  "species": ["Na", "Na", "Na", "Ce", "Ce", "Mg", "Se", "Se", "Se", "Se", "Se", "Se"],
  "fractional_positions": [[0.000, 0.000, 0.000], [0.333, 0.667, 0.000], [0.667, 0.333, 0.000], [0.167, 0.833, 0.500], [0.833, 0.167, 0.500], [0.500, 0.500, 0.500], [0.098, 0.424, 0.271], [0.251, 0.251, 0.728], [0.424, 0.098, 0.271], [0.576, 0.902, 0.729], [0.749, 0.749, 0.272], [0.902, 0.576, 0.729]]
}

{
  "formula": "RbCe2Ir",
  "functional": "PBE",
  "state": "relaxed",
  "crystal_system": "trigonal",
  "sg": "R-3m",
  "final_energy_ev_per_fu": -22.41,
  "formation_energy_ev_per_atom": -0.179,
  "cell": [[4.192, 0.000, 0.000], [-2.096, 3.630, 0.000], [0.000, 0.000, 33.995]],
  "species": ["Rb", "Rb", "Rb", "Ce", "Ce", "Ce", "Ce", "Ce", "Ce", "Ir", "Ir", "Ir"],
  "fractional_positions": [[0.000, 0.000, 0.000], [0.333, 0.667, 0.667], [0.667, 0.333, 0.333], [0.000, 0.000, 0.124], [0.000, 0.000, 0.876], [0.333, 0.667, 0.542], [0.333, 0.667, 0.791], [0.667, 0.333, 0.209], [0.667, 0.333, 0.458], [0.000, 0.000, 0.500], [0.333, 0.667, 0.167], [0.667, 0.333, 0.833]]
}

{
  "formula": "TbCeSm2Ho",
  "functional": "PBE",
  "state": "relaxed",
  "crystal_system": "monoclinic",
  "sg": "P2/c",
  "final_energy_ev_per_fu": -23.14,
  "formation_energy_ev_per_atom": 0.288,
  "cell": [[6.666, 0.000, 0.000], [0.000, 8.132, 0.000], [-0.026, 0.000, 6.126]],
  "species": ["Tb", "Tb", "Ce", "Ce", "Sm", "Sm", "Sm", "Sm", "Ho", "Ho"],
  "fractional_positions": [[0.000, 0.147, 0.250], [0.000, 0.853, 0.750], [0.000, 0.500, 0.000], [0.000, 0.500, 0.500], [0.263, 0.188, 0.752], [0.263, 0.812, 0.252], [0.737, 0.188, 0.748], [0.737, 0.812, 0.248], [0.500, 0.372, 0.250], [0.500, 0.628, 0.750]]
}

{
  "formula": "MoWC",
  "functional": "PBE",
  "state": "relaxed",
  "crystal_system": "tetragonal",
  "sg": "I4mm",
  "de_polymorph_ev_per_atom": 0.5819,
  "final_energy_ev_per_fu": -31.51,
  "formation_energy_ev_per_atom": 0.498,
  "cell": [[2.759, 0.000, 0.000], [0.000, 2.759, 0.000], [0.000, 0.000, 9.714]],
  "species": ["Mo", "Mo", "W", "W", "C", "C"],
  "fractional_positions": [[0.000, 0.000, 0.000], [0.500, 0.500, 0.500], [0.000, 0.000, 0.733], [0.500, 0.500, 0.233], [0.000, 0.000, 0.356], [0.500, 0.500, 0.856]]
}